[1]
Compound: SbIr2Pb
Source: Alexandria via LeMat-Bulk
Functional: GGA-PBE
Structure: optimized geometry

Geometry as POSCAR:
```
SbIr2Pb
1.0
3.1565 0.0000 0.0000
0.0000 3.3798 0.0000
0.0000 0.0000 7.3286
Ir Pb Sb
2 1 1
direct
0.0000 0.0000 0.9535 Ir
0.0000 0.0000 0.5465 Ir
0.5000 0.5000 0.2500 Pb
0.5000 0.5000 0.7500 Sb
```

Calculated values
uncorrected formation energy: 1.4 eV/f.u.
crystal system: orthorhombic
energy: -6.034 eV per atom
energy relative to the lowest polymorph listed for this composition: 0.1412 eV per atom



[2]
Compound: SbIr2Pb
Source: Alexandria via LeMat-Bulk
Functional: GGA-PBE
Structure: optimized geometry

Geometry as POSCAR:
```
SbIr2Pb
1.0
3.5112 0.0000 0.0000
0.0000 3.0997 -0.0009
0.0000 1.1760 7.3620
Ir Pb Sb
2 1 1
direct
0.0000 0.1839 0.9480 Ir
0.0000 0.3161 0.5520 Ir
0.5000 0.2500 0.2500 Pb
0.5000 0.7500 0.7500 Sb
```

Calculated values
uncorrected formation energy: 1.3 eV/f.u.
crystal system: monoclinic
energy: -6.068 eV per atom
energy relative to the lowest polymorph listed for this composition: 0.1078 eV per atom



[3]
Compound: SbIr2Pb
Source: Alexandria via LeMat-Bulk
Functional: GGA-PBE
Structure: optimized geometry

Geometry as POSCAR:
```
SbIr2Pb
1.0
4.8043 0.0000 0.0000
2.4022 4.1607 0.0000
2.4022 1.3869 3.9227
Ir Pb Sb
2 1 1
direct
0.0000 0.0000 0.0000 Ir
0.2500 0.2500 0.2500 Ir
0.5000 0.5000 0.5000 Pb
0.7500 0.7500 0.7500 Sb
```

Calculated values
uncorrected formation energy: 2.8 eV/f.u.
crystal system: cubic
energy: -5.682 eV per atom
energy relative to the lowest polymorph listed for this composition: 0.4937 eV per atom



[4]
Compound: Sb3IrPb
Source: Alexandria via LeMat-Bulk
Functional: GGA-PBE
Structure: optimized geometry

Geometry as POSCAR:
```
Sb3IrPb
1.0
-1.4961 -2.9942 4.4729
4.6724 1.5824 2.6220
-2.6722 4.4431 2.0805
Pb Sb Ir
1 3 1
direct
0.0000 0.0000 0.0000 Pb
0.0000 0.5000 0.0000 Sb
0.0000 0.0000 0.5000 Sb
0.5000 0.0000 0.0000 Sb
0.5000 0.5000 0.5000 Ir
```

Calculated values
uncorrected formation energy: 9.3 eV/f.u.
crystal system: cubic
energy: -3.130 eV per atom
energy relative to the lowest polymorph listed for this composition: 1.4676 eV per atom



[5]
Compound: SbIrPb3
Source: Alexandria via LeMat-Bulk
Functional: GGA-PBE
Structure: optimized geometry

Geometry as POSCAR:
```
SbIrPb3
1.0
5.3231 0.0000 0.0000
0.0000 5.3231 0.0000
0.0000 0.0000 5.3231
Pb Sb Ir
3 1 1
direct
0.0000 0.5000 0.0000 Pb
0.0000 0.0000 0.5000 Pb
0.5000 0.0000 0.0000 Pb
0.5000 0.5000 0.5000 Sb
0.0000 0.0000 0.0000 Ir
```

Calculated values
uncorrected formation energy: 1.0 eV/f.u.
crystal system: cubic
energy: -4.614 eV per atom
energy relative to the lowest polymorph listed for this composition: 0.0000 eV per atom



[6]
Compound: SbIr2Pb
Source: Alexandria via LeMat-Bulk
Functional: GGA-PBE
Structure: optimized geometry

Geometry as POSCAR:
```
SbIr2Pb
1.0
-0.0302 4.3830 -4.1458
-2.8950 -3.6479 -3.8356
-6.7449 2.3336 -1.8737
Pb Sb Ir
2 2 4
direct
0.0000 0.0000 0.0000 Pb
0.7500 0.2500 0.5000 Pb
0.5000 0.5000 0.0000 Sb
0.2500 0.7500 0.5000 Sb
0.6055 0.1250 0.2500 Ir
0.1445 0.6250 0.2500 Ir
0.3750 0.3945 0.7500 Ir
0.8750 0.8555 0.7500 Ir
```

Calculated values
uncorrected formation energy: 2.1 eV/f.u.
crystal system: tetragonal
energy: -5.859 eV per atom
energy relative to the lowest polymorph listed for this composition: 0.3172 eV per atom



[7]
Compound: SbIr2Pb
Source: Alexandria via LeMat-Bulk
Functional: GGA-PBE
Structure: optimized geometry

Geometry as POSCAR:
```
SbIr2Pb
1.0
-4.2836 -2.0652 -1.2630
-0.5781 -1.6231 4.6146
-1.4992 2.6537 0.7456
Ir Pb Sb
2 1 1
direct
0.0000 0.0000 0.0000 Ir
0.5000 0.5000 0.0000 Ir
0.5000 0.0000 0.5000 Pb
0.0000 0.5000 0.5000 Sb
```

Calculated values
uncorrected formation energy: 1.8 eV/f.u.
crystal system: tetragonal
energy: -5.947 eV per atom
energy relative to the lowest polymorph listed for this composition: 0.2289 eV per atom



[8]
Compound: SbIr2Pb
Source: Alexandria via LeMat-Bulk
Functional: GGA-PBE
Structure: optimized geometry

Geometry as POSCAR:
```
SbIr2Pb
1.0
-7.3315 6.2559 4.2255
-9.1915 4.5173 2.4194
-8.4033 3.5161 5.2692
Ir Pb Sb
2 1 1
direct
0.9950 0.9950 0.9950 Ir
0.2593 0.2593 0.2593 Ir
0.5198 0.5198 0.5198 Pb
0.7260 0.7260 0.7260 Sb
```

Calculated values
uncorrected formation energy: 1.7 eV/f.u.
crystal system: trigonal
energy: -5.957 eV per atom
energy relative to the lowest polymorph listed for this composition: 0.2187 eV per atom



[9]
Compound: SbIr2Pb2
Source: Alexandria via LeMat-Bulk
Functional: GGA-PBE
Structure: optimized geometry

Geometry as POSCAR:
```
SbIr2Pb2
1.0
-3.9682 -1.2540 -6.9781
-5.3695 -4.6905 3.8963
-1.8325 2.5784 0.5787
Pb Sb Ir
4 2 4
direct
0.1483 0.6483 0.5000 Pb
0.6483 0.8517 0.5000 Pb
0.8517 0.3517 0.5000 Pb
0.3517 0.1483 0.5000 Pb
0.0000 0.0000 0.0000 Sb
0.5000 0.5000 0.0000 Sb
0.3505 0.8505 0.0000 Ir
0.8505 0.6495 0.0000 Ir
0.6495 0.1495 0.0000 Ir
0.1495 0.3505 0.0000 Ir
```

Calculated values
uncorrected formation energy: 1.8 eV/f.u.
crystal system: tetragonal
energy: -5.488 eV per atom



[10]
Compound: SbIrPb4
Source: Alexandria via LeMat-Bulk
Functional: GGA-PBE
Structure: optimized geometry

Geometry as POSCAR:
```
SbIrPb4
1.0
0.0000 4.4333 4.4333
4.4333 0.0000 4.4333
4.4333 4.4333 0.0000
Sb Ir Pb
1 1 4
direct
0.7500 0.7500 0.7500 Sb
0.0000 0.0000 0.0000 Ir
0.8768 0.3744 0.3744 Pb
0.3744 0.3744 0.8768 Pb
0.3744 0.8768 0.3744 Pb
0.3744 0.3744 0.3744 Pb
```

Calculated values
uncorrected formation energy: 4.9 eV/f.u.
crystal system: cubic
energy: -3.813 eV per atom



[11]
Compound: SbIr2Pb
Source: Alexandria via LeMat-Bulk
Functional: GGA-PBE
Structure: optimized geometry

Geometry as POSCAR:
```
SbIr2Pb
1.0
-0.5925 1.4346 4.2398
-3.4187 1.2371 2.6772
-1.2122 -5.0669 2.8326
Ir Pb Sb
2 1 1
direct
0.9949 0.9949 0.0315 Ir
0.5051 0.5051 0.4685 Ir
0.7500 0.7500 0.7500 Pb
0.2500 0.2500 0.2500 Sb
```

Calculated values
uncorrected formation energy: 1.5 eV/f.u.
crystal system: monoclinic
energy: -6.007 eV per atom
energy relative to the lowest polymorph listed for this composition: 0.1688 eV per atom



[12]
Compound: SbIr2Pb
Source: Alexandria via LeMat-Bulk
Functional: GGA-PBE
Structure: optimized geometry

Geometry as POSCAR:
```
SbIr2Pb
1.0
4.3149 0.0000 0.0000
0.0000 3.2426 0.0010
0.0000 1.6195 5.6315
Ir Pb Sb
2 1 1
direct
0.0000 0.2154 0.9438 Ir
0.5000 0.0528 0.2699 Ir
0.0000 0.4704 0.4343 Pb
0.5000 0.7615 0.8520 Sb
```

Calculated values
uncorrected formation energy: 0.8 eV/f.u.
crystal system: orthorhombic
energy: -6.176 eV per atom
energy relative to the lowest polymorph listed for this composition: 0.0000 eV per atom



[13]
Compound: Sb3IrPb
Source: Alexandria via LeMat-Bulk
Functional: GGA-PBE
Structure: optimized geometry

Geometry as POSCAR:
```
Sb3IrPb
1.0
5.2666 0.0000 0.0000
0.0000 5.2666 0.0000
0.0000 0.0000 5.2666
Pb Sb Ir
1 3 1
direct
0.5000 0.5000 0.5000 Pb
0.0000 0.5000 0.0000 Sb
0.0000 0.0000 0.5000 Sb
0.5000 0.0000 0.0000 Sb
0.0000 0.0000 0.0000 Ir
```

Calculated values
uncorrected formation energy: 2.0 eV/f.u.
crystal system: cubic
energy: -4.597 eV per atom
energy relative to the lowest polymorph listed for this composition: 0.0000 eV per atom



[14]
Compound: SbIr3Pb
Source: Alexandria via LeMat-Bulk
Functional: GGA-PBE
Structure: optimized geometry

Geometry as POSCAR:
```
SbIr3Pb
1.0
-4.8017 1.0359 0.2231
-0.8107 -2.9244 -3.8691
-0.6824 -3.8150 3.0265
Pb Sb Ir
1 1 3
direct
0.5000 0.5000 0.5000 Pb
0.0000 0.0000 0.0000 Sb
0.0000 0.5000 0.0000 Ir
0.0000 0.0000 0.5000 Ir
0.5000 0.0000 0.0000 Ir
```

Calculated values
uncorrected formation energy: 6.5 eV/f.u.
crystal system: cubic
energy: -5.587 eV per atom
energy relative to the lowest polymorph listed for this composition: 0.0000 eV per atom



[15]
Compound: Sb4IrPb
Source: Alexandria via LeMat-Bulk
Functional: GGA-PBE
Structure: optimized geometry

Geometry as POSCAR:
```
Sb4IrPb
1.0
0.0000 4.3286 4.3286
4.3286 0.0000 4.3286
4.3286 4.3286 0.0000
Sb Ir Pb
4 1 1
direct
0.8743 0.3752 0.3752 Sb
0.3752 0.3752 0.8743 Sb
0.3752 0.8743 0.3752 Sb
0.3752 0.3752 0.3752 Sb
0.7500 0.7500 0.7500 Ir
0.0000 0.0000 0.0000 Pb
```

Calculated values
uncorrected formation energy: 4.8 eV/f.u.
crystal system: cubic
energy: -4.039 eV per atom



[16]
Compound: SbIr2Pb
Source: Alexandria via LeMat-Bulk
Functional: GGA-PBE
Structure: optimized geometry

Geometry as POSCAR:
```
SbIr2Pb
1.0
-3.0466 -4.5852 -1.3006
0.5353 -4.7652 3.0008
-0.7746 5.5344 0.8765
Ir Pb Sb
2 1 1
direct
0.0000 0.0000 0.0000 Ir
0.2500 0.7500 0.5000 Ir
0.5000 0.5000 0.0000 Pb
0.7500 0.2500 0.5000 Sb
```

Calculated values
uncorrected formation energy: 1.9 eV/f.u.
crystal system: tetragonal
energy: -5.912 eV per atom
energy relative to the lowest polymorph listed for this composition: 0.2640 eV per atom



[17]
Compound: SbIr2Pb
Source: Alexandria via LeMat-Bulk
Functional: GGA-PBE
Structure: optimized geometry

Geometry as POSCAR:
```
SbIr2Pb
1.0
4.5618 -0.0426 -0.6911
3.5495 2.8657 -0.6911
-0.1045 -0.0364 7.2008
Ir Pb Sb
2 1 1
direct
0.0320 0.0320 0.9813 Ir
0.7197 0.7197 0.7941 Ir
0.4141 0.4141 0.5986 Pb
0.3343 0.3343 0.1260 Sb
```

Calculated values
uncorrected formation energy: 1.1 eV/f.u.
crystal system: monoclinic
energy: -6.121 eV per atom
energy relative to the lowest polymorph listed for this composition: 0.0547 eV per atom



[18]
Compound: SbIr2Pb
Source: Alexandria via LeMat-Bulk
Functional: GGA-PBE
Structure: optimized geometry

Geometry as POSCAR:
```
SbIr2Pb
1.0
7.5077 1.1906 -0.2599
5.2882 5.4607 0.2599
-6.0602 -3.9755 2.3067
Ir Pb Sb
2 1 1
direct
0.0554 0.0554 0.0000 Ir
0.7896 0.2896 0.5000 Ir
0.4490 0.4490 0.0000 Pb
0.2059 0.7059 0.5000 Sb
```

Calculated values
uncorrected formation energy: 1.2 eV/f.u.
crystal system: orthorhombic
energy: -6.080 eV per atom
energy relative to the lowest polymorph listed for this composition: 0.0954 eV per atom



[19]
Compound: SbIr2Pb
Source: Alexandria via LeMat-Bulk
Functional: GGA-PBE
Structure: optimized geometry

Geometry as POSCAR:
```
SbIr2Pb
1.0
8.7081 0.0214 0.0127
8.0937 3.2129 0.0127
8.0937 1.5581 2.8099
Ir Pb Sb
2 1 1
direct
0.0067 0.0067 0.0067 Ir
0.4933 0.4933 0.4933 Ir
0.2500 0.2500 0.2500 Pb
0.7500 0.7500 0.7500 Sb
```

Calculated values
uncorrected formation energy: 1.5 eV/f.u.
crystal system: trigonal
energy: -6.024 eV per atom
energy relative to the lowest polymorph listed for this composition: 0.1513 eV per atom



[20]
Compound: SrSbIr2Pb
Source: Alexandria via LeMat-Bulk
Functional: GGA-PBE
Structure: optimized geometry

Geometry as POSCAR:
```
SrSbIr2Pb
1.0
5.0971 0.0000 0.0000
0.0000 5.6615 0.0000
0.0000 0.0000 5.0971
Pb Sb Ir Sr
1 1 2 1
direct
0.0000 0.0000 0.0000 Pb
0.0000 0.5000 0.0000 Sb
0.0000 0.0000 0.5000 Ir
0.5000 0.0000 0.0000 Ir
0.5000 0.5000 0.5000 Sr
```

Calculated values
uncorrected formation energy: 4.7 eV/f.u.
crystal system: tetragonal
energy: -4.506 eV per atom



[21]
Compound: TlSbIrPb2
Source: Alexandria via LeMat-Bulk
Functional: GGA-PBE
Structure: optimized geometry

Geometry as POSCAR:
```
TlSbIrPb2
1.0
-0.0875 -5.2870 1.4533
4.7843 -0.5645 -1.7654
1.9791 1.3251 4.9396
Pb Sb Tl Ir
2 1 1 1
direct
0.0000 0.0000 0.5000 Pb
0.5000 0.0000 0.0000 Pb
0.0000 0.5000 0.0000 Sb
0.5000 0.5000 0.5000 Tl
0.0000 0.0000 0.0000 Ir
```

Calculated values
uncorrected formation energy: 1.3 eV/f.u.
crystal system: tetragonal
energy: -4.287 eV per atom



[22]
Compound: Sc2IrPb
Source: Alexandria via LeMat-Bulk
Functional: GGA-PBE
Structure: optimized geometry

Geometry as POSCAR:
```
Sc2IrPb
1.0
-2.3589 -2.5444 1.4304
0.8365 -2.3512 -2.8029
4.8065 -2.4801 3.5148
Ir Pb Sc
1 1 2
direct
0.0000 0.0000 0.4056 Ir
0.5000 0.5000 0.7678 Pb
0.0000 0.0000 0.0132 Sc
0.5000 0.5000 0.3133 Sc
```

Calculated values
crystal system: tetragonal
formation energy: -0.366 eV/atom
energy: -6.674 eV per atom



[23]
Compound: Sc2IrPb
Source: Alexandria via LeMat-Bulk
Functional: GGA-PBE
Structure: optimized geometry

Geometry as POSCAR:
```
Sc2IrPb
1.0
4.5032 0.0000 0.0000
0.0000 3.3540 0.0864
0.0000 1.5310 5.6010
Ir Pb Sc
1 1 2
direct
0.0000 0.7230 0.4277 Ir
0.5000 0.5484 0.7788 Pb
0.0000 0.9541 0.9680 Sc
0.5000 0.2744 0.3255 Sc
```

Calculated values
crystal system: orthorhombic
formation energy: -0.543 eV/atom
energy: -6.851 eV per atom



[24]
Compound: ScIrPb
Source: Alexandria via LeMat-Bulk
Functional: GGA-PBE
Structure: optimized geometry

Geometry as POSCAR:
```
ScIrPb
1.0
-0.5226 -3.2828 -0.1485
1.2489 1.6066 -2.6327
6.2457 -1.0979 2.2928
Ir Pb Sc
1 1 1
direct
0.0000 0.0000 0.9762 Ir
0.3333 0.6667 0.3133 Pb
0.6667 0.3333 0.7105 Sc
```

Calculated values
crystal system: trigonal
formation energy: -0.102 eV/atom
energy: -6.402 eV per atom



[25]
Compound: ScIrPb
Source: Alexandria via LeMat-Bulk
Functional: GGA-PBE
Structure: optimized geometry

Geometry as POSCAR:
```
ScIrPb
1.0
-4.5943 0.4949 0.7951
1.6843 -4.0942 -1.5445
0.4125 -0.9531 2.9764
Ir Pb Sc
1 1 1
direct
0.0000 0.0000 0.1669 Ir
0.6667 0.3333 0.1665 Pb
0.3333 0.6667 0.6666 Sc
```

Calculated values
crystal system: hexagonal
formation energy: -0.308 eV/atom
energy: -6.608 eV per atom



[26]
Compound: Sc2IrPb
Source: Alexandria via LeMat-Bulk
Functional: GGA-PBE
Structure: optimized geometry

Geometry as POSCAR:
```
Sc2IrPb
1.0
6.3735 -0.0160 0.0017
5.5422 3.1473 0.0017
1.6653 0.4376 4.2736
Ir Pb Sc
1 1 2
direct
0.5123 0.5123 0.4877 Ir
0.7919 0.7919 0.7082 Pb
0.9959 0.9959 0.0040 Sc
0.2000 0.2000 0.3000 Sc
```

Calculated values
crystal system: orthorhombic
formation energy: -0.512 eV/atom
energy: -6.820 eV per atom



[27]
Compound: Sc2IrPb
Source: Alexandria via LeMat-Bulk
Functional: GGA-PBE
Structure: optimized geometry

Geometry as POSCAR:
```
Sc2IrPb
1.0
5.5575 -0.0004 0.0000
2.5126 4.9571 0.0000
-4.0351 -2.4783 2.9090
Ir Pb Sc
1 1 2
direct
0.5000 0.5000 0.0000 Ir
0.7500 0.2500 0.5000 Pb
0.0000 0.0000 0.0000 Sc
0.2500 0.7500 0.5000 Sc
```

Calculated values
crystal system: tetragonal
formation energy: -0.431 eV/atom
energy: -6.739 eV per atom



[28]
Compound: ScIr3Pb
Source: Alexandria via LeMat-Bulk
Functional: GGA-PBE
Structure: optimized geometry

Geometry as POSCAR:
```
ScIr3Pb
1.0
4.9289 0.0000 0.0000
0.0000 4.9289 0.0000
0.0000 0.0000 4.9289
Pb Sc Ir
1 1 3
direct
0.0000 0.0000 0.0000 Pb
0.5000 0.5000 0.5000 Sc
0.0000 0.5000 0.0000 Ir
0.0000 0.0000 0.5000 Ir
0.5000 0.0000 0.0000 Ir
```

Calculated values
crystal system: cubic
formation energy: 1.513 eV/atom
energy: -5.812 eV per atom
energy relative to the lowest polymorph listed for this composition: 0.3238 eV per atom



[29]
Compound: Sc2IrPb
Source: Alexandria via LeMat-Bulk
Functional: GGA-PBE
Structure: optimized geometry

Geometry as POSCAR:
```
Sc2IrPb
1.0
-2.0135 -0.9752 2.4476
1.1027 -2.9818 -0.2809
6.7583 -1.3794 5.0101
Pb Sc Ir
1 2 1
direct
0.5000 0.7500 0.7500 Pb
0.0000 0.9526 0.0474 Sc
0.0000 0.5474 0.4526 Sc
0.5000 0.2500 0.2500 Ir
```

Calculated values
crystal system: monoclinic
formation energy: -0.672 eV/atom
energy: -6.980 eV per atom



[30]
Compound: ScIrPb
Source: Alexandria via LeMat-Bulk
Functional: GGA-PBE
Structure: optimized geometry

Geometry as POSCAR:
```
ScIrPb
1.0
-3.0395 -3.2436 -1.1175
1.4434 -4.0098 -1.6872
-0.3281 -3.8044 2.5352
Ir Pb Sc
1 1 1
direct
0.7500 0.7500 0.7500 Ir
0.0000 0.0000 0.0000 Pb
0.5000 0.5000 0.5000 Sc
```

Calculated values
crystal system: cubic
formation energy: -0.413 eV/atom
energy: -6.714 eV per atom